Density functional theory data (PBE) for a geometry-optimized LiTe2P structure.

Computed properties:
* calculated density: 5.3 g/cm³
* volume: 23.1 Å³ per atom
* formation energy (no corrections): 289 meV per atom

The structure in CIF format:
```
data_LiTe2P
_chemical_formula_sum 'Li4 Te8 P4'
_symmetry_space_group_name_H-M 'F -4 3 m'
_symmetry_Int_Tables_number 216
_symmetry_space_group_name_Hall 'F -4 2 3'
_cell_length_a 7.1801
_cell_length_b 7.1801
_cell_length_c 7.1801
_cell_angle_alpha 90.00
_cell_angle_beta 90.00
_cell_angle_gamma 90.00
loop_
_atom_site_label
_atom_site_fract_x
_atom_site_fract_y
_atom_site_fract_z
_atom_site_occupancy
Li1 0.0000 0.0000 0.0000 1
Te1 0.0000 0.0000 0.5000 1
Te2 0.2500 0.2500 0.2500 1
P1 0.2500 0.2500 0.7500 1
```


Density functional theory data (PBE) for a geometry-optimized Li2TeP structure.

Computed properties:
* calculated density: 3.9 g/cm³
* volume: 18.6 Å³ per atom
* E above lowest polymorph: 0.0327 eV per atom
* formation energy (no corrections): -386 meV per atom

The structure in CIF format:
```
data_Li2TeP
_chemical_formula_sum 'Li2 Te1 P1'
_symmetry_space_group_name_H-M 'P 1 2/m 1'
_symmetry_Int_Tables_number 10
_cell_length_a 3.0580
_cell_length_b 3.9901
_cell_length_c 6.1020
_cell_angle_alpha 90.00
_cell_angle_beta 93.04
_cell_angle_gamma 90.00
loop_
_symmetry_equiv_pos_as_xyz
'x,y,z'
'-x,-y,-z'
'-x,y,-z'
'x,-y,z'
loop_
_atom_site_label
_atom_site_fract_x
_atom_site_fract_y
_atom_site_fract_z
_atom_site_occupancy
Li1 0.0256 0.0000 0.2919 1
Te1 0.5000 0.5000 0.0000 1
P1 0.5000 0.5000 0.5000 1
```


Density functional theory data (PBE) for a geometry-optimized LiTe2P structure.

Computed properties:
* calculated density: 4.8 g/cm³
* volume: 25.1 Å³ per atom
* formation energy (no corrections): -116 meV per atom

The structure in CIF format:
```
data_LiTe2P
_chemical_formula_sum 'Li2 Te4 P2'
_symmetry_space_group_name_H-M 'C m m m'
_symmetry_Int_Tables_number 65
_symmetry_space_group_name_Hall '-C 2 2'
_cell_length_a 6.0201
_cell_length_b 8.4619
_cell_length_c 3.9442
_cell_angle_alpha 90.00
_cell_angle_beta 90.00
_cell_angle_gamma 90.00
loop_
_atom_site_label
_atom_site_fract_x
_atom_site_fract_y
_atom_site_fract_z
_atom_site_occupancy
Li1 0.0000 0.0000 0.0000 1
Te1 0.0000 0.2684 0.5000 1
P1 0.0000 0.5000 0.0000 1
```


Density functional theory data (PBE) for a geometry-optimized LiTe2P structure.

Computed properties:
* calculated density: 3.8 g/cm³
* volume: 31.6 Å³ per atom
* formation energy (no corrections): -114 meV per atom

The structure in CIF format:
```
data_LiTe2P
_chemical_formula_sum 'Li4 Te8 P4'
_symmetry_space_group_name_H-M 'I -4 2 d'
_symmetry_Int_Tables_number 122
_symmetry_space_group_name_Hall 'I -4 2bw'
_cell_length_a 6.1329
_cell_length_b 6.1329
_cell_length_c 13.4522
_cell_angle_alpha 90.00
_cell_angle_beta 90.00
_cell_angle_gamma 90.00
loop_
_atom_site_label
_atom_site_fract_x
_atom_site_fract_y
_atom_site_fract_z
_atom_site_occupancy
Li1 0.0000 0.0000 0.0000 1
Te1 0.2330 0.2500 0.6250 1
P1 0.0000 0.0000 0.5000 1
```